The following is a GGA-PBE calculation of crystalline Ti4V2Rh at its relaxed geometry, from the Alexandria database.

Output
* ΔE_f: -0.0953 eV per atom
* magnetization: 0.0 μB per formula unit
* calculated total energy: -8.262 eV/atom

```
data_Ti4V2Rh
_chemical_formula_sum 'Ti8 V4 Rh2'
_space_group_name_H-M_alt 'I 4/m m m'
_space_group_IT_number 139
_space_group_name_Hall '-I 4 2'
_cell_length_a 4.2537
_cell_length_b 4.2537
_cell_length_c 12.7875
_cell_angle_alpha 90.00
_cell_angle_beta 90.00
_cell_angle_gamma 90.00
loop_
_atom_site_label
_atom_site_fract_x
_atom_site_fract_y
_atom_site_fract_z
Ti1 0.0000 0.5000 0.1238
V1 0.0000 0.0000 0.2469
Rh1 0.0000 0.0000 0.0000
```